DFT (GGA+U) results for an optimized crystal structure of ScV2GaO.

Cell: 5.620 5.620 3.784 Å, 90.00 90.00 90.00°
Fractional coordinates of all 5 atoms:
Sc: 0.000 0.000 0.000
V: 0.000 0.500 0.000
V: 0.500 0.000 0.000
Ga: 0.500 0.500 0.500
O: 0.000 0.000 0.500

## Properties
Calculated total energy   -5.3014 eV per atom